DFT (GGA+U) results for crystalline DyV2CoO8 at its relaxed geometry.

a = 5.7163 Å, b = 5.7163 Å, c = 5.6709 Å
α = 90.00°, β = 90.00°, γ = 120.00°
Positions (direct):
Dy 0.0000 0.0000 0.0000
V 0.6667 0.3333 0.3803
V 0.3333 0.6667 0.6197
Co 0.0000 0.0000 0.5000
O 0.8423 0.1577 0.2904
O 0.8423 0.6846 0.2904
O 0.3154 0.1577 0.2904
O 0.6846 0.8423 0.7096
O 0.3333 0.6667 0.3344
O 0.6667 0.3333 0.6656
O 0.1577 0.8423 0.7096
O 0.1577 0.3154 0.7096

electronic total energy: -7.293 eV per atom
space-group type: P-3m1, No. 164
calculated density: 4.7 g/cm³